# 1
Ta5RuW2 | PBE-GGA | optimized geometry

```
Ta5RuW2
1.0
-1.249 3.643 -2.495
-5.004 -0.108 2.348
3.550 6.609 7.870
W Ta Ru
4 10 2
Direct
0.500 0.664 0.623
0.500 0.164 0.877
0.500 0.336 0.377
0.500 0.836 0.123
0.500 0.164 0.617
0.000 0.500 0.500
0.500 0.336 0.117
0.500 0.836 0.383
0.000 0.000 0.000
0.500 0.664 0.883
0.000 0.355 0.757
0.000 0.855 0.743
0.000 0.145 0.257
0.000 0.645 0.243
0.000 0.000 0.500
0.000 0.500 0.000
```

- DOS(E_F) (states/eV/atom) = 0.828
- calculated density (Mg/m³) = 16.5
- formation energy (kJ/mol of formula units) = -50.0
- crystal system = orthorhombic

=====

# 2
SbTe2MoIr | PBE-GGA | optimized geometry

```
SbTe2MoIr
1.0
5.125 0.000 0.000
0.000 5.125 0.000
0.000 0.000 5.166
Mo Ir Sb Te
1 1 1 2
Direct
0.000 0.000 0.000
0.500 0.500 0.500
0.000 0.000 0.500
0.500 0.000 0.000
0.000 0.500 0.000
```

- distance to the lowest polymorph of the same formula (kJ per mole of atoms) = 14.4
- DOS(E_F) (states/eV/atom) = 0.767
- uncorrected formation energy (eV/f.u.) = 6.0
- calculated density (Mg/m³) = 8.1
- crystal system = tetragonal